No. 1
The following is a GGA-PBE calculation of crystalline CsRb4Tl5 at its relaxed geometry, from Alexandria.

Summary:
**ΔH_f (0 K)**: -8 meV/atom
**SG**: Pmmn, No. 59
**DOS at the Fermi energy**: 19.9 states/eV per cell

```
data_CsRb4Tl5
_chemical_formula_sum 'Cs2 Rb8 Tl10'
_space_group_name_H-M_alt 'P 1'
_space_group_IT_number 1
_cell_length_a 5.4978
_cell_length_b 13.5758
_cell_length_c 12.7942
_cell_angle_alpha 90.00
_cell_angle_beta 90.00
_cell_angle_gamma 90.00
loop_
_space_group_symop_operation_xyz
'x,y,z'
loop_
_atom_site_label
_atom_site_type_symbol
_atom_site_fract_x
_atom_site_fract_y
_atom_site_fract_z
_atom_site_occupancy
Tl1 Tl 0.2502 0.7967 0.2855 1
Tl2 Tl 0.2502 0.2033 0.7145 1
Rb1 Rb 0.2492 0.7035 0.0000 1
Tl3 Tl 0.7498 0.7033 0.7855 1
Rb2 Rb 0.7508 0.0000 0.7319 1
Tl4 Tl 0.2502 0.2033 0.2855 1
Cs1 Cs 0.7466 0.5000 0.5000 1
Rb3 Rb 0.2492 0.5000 0.2319 1
Rb4 Rb 0.2492 0.5000 0.7681 1
Tl5 Tl 0.7498 0.7033 0.2145 1
Tl6 Tl 0.2502 0.7967 0.7145 1
Rb5 Rb 0.7508 0.2035 0.5000 1
Tl7 Tl 0.2511 0.0000 0.5000 1
Rb6 Rb 0.7508 0.7965 0.5000 1
Rb7 Rb 0.7508 0.0000 0.2681 1
Tl8 Tl 0.7489 0.5000 0.0000 1
Rb8 Rb 0.2492 0.2965 0.0000 1
Tl9 Tl 0.7498 0.2967 0.7855 1
Cs2 Cs 0.2534 0.0000 0.0000 1
Tl10 Tl 0.7498 0.2967 0.2145 1
```

No. 2
The following is a GGA-PBE calculation of crystalline Cs3Rb4Tl2 at its relaxed geometry, from Alexandria.

Summary:
**ΔH_f (0 K)**: -21 meV/atom
**SG**: C2/c, No. 15
**DOS at the Fermi energy**: 15.2 states/eV per cell

```
data_Cs3Rb4Tl2
_chemical_formula_sum 'Cs6 Rb8 Tl4'
_space_group_name_H-M_alt 'P 1'
_space_group_IT_number 1
_cell_length_a 10.5785
_cell_length_b 14.0940
_cell_length_c 11.8290
_cell_angle_alpha 53.44
_cell_angle_beta 77.03
_cell_angle_gamma 90.00
loop_
_space_group_symop_operation_xyz
'x,y,z'
loop_
_atom_site_label
_atom_site_type_symbol
_atom_site_fract_x
_atom_site_fract_y
_atom_site_fract_z
_atom_site_occupancy
Tl1 Tl 0.9206 0.8838 0.5542 1
Tl2 Tl 0.4206 0.5620 0.5542 1
Cs1 Cs 0.7998 0.7705 0.2636 1
Tl3 Tl 0.5794 0.4380 0.4458 1
Cs2 Cs 0.2998 0.9660 0.2636 1
Cs3 Cs 0.2002 0.2295 0.7364 1
Cs4 Cs 0.2500 0.4173 0.0000 1
Rb1 Rb 0.4488 0.2225 0.3786 1
Rb2 Rb 0.3530 0.6491 0.2012 1
Cs5 Cs 0.7500 0.5827 0.0000 1
Rb3 Rb 0.0512 0.6011 0.6214 1
Tl4 Tl 0.0794 0.1162 0.4458 1
Rb4 Rb 0.9488 0.3989 0.3786 1
Rb5 Rb 0.6470 0.3509 0.7988 1
Cs6 Cs 0.7002 0.0340 0.7364 1
Rb6 Rb 0.1470 0.8503 0.7988 1
Rb7 Rb 0.5512 0.7775 0.6214 1
Rb8 Rb 0.8530 0.1497 0.2012 1
```

No. 3
The following is a GGA-PBE calculation of crystalline CsRb2Tl4 at its relaxed geometry, from Alexandria.

Summary:
**ΔH_f (0 K)**: -44 meV/atom
**SG**: Cmmm, No. 65
**DOS at the Fermi energy**: 4.7 states/eV per cell

```
data_CsRb2Tl4
_chemical_formula_sum 'Cs1 Rb2 Tl4'
_space_group_name_H-M_alt 'P 1'
_space_group_IT_number 1
_cell_length_a 4.2578
_cell_length_b 4.2768
_cell_length_c 18.1079
_cell_angle_alpha 90.00
_cell_angle_beta 96.75
_cell_angle_gamma 90.00
loop_
_space_group_symop_operation_xyz
'x,y,z'
loop_
_atom_site_label
_atom_site_type_symbol
_atom_site_fract_x
_atom_site_fract_y
_atom_site_fract_z
_atom_site_occupancy
Tl1 Tl 0.0776 0.5000 0.1552 1
Tl2 Tl 0.6178 0.0000 0.2357 1
Cs1 Cs 0.5000 0.0000 0.0000 1
Rb1 Rb 0.8129 0.5000 0.6258 1
Rb2 Rb 0.1871 0.5000 0.3742 1
Tl3 Tl 0.9224 0.5000 0.8448 1
Tl4 Tl 0.3822 0.0000 0.7643 1
```

No. 4
The following is a GGA-PBE calculation of crystalline Cs12Rb5Tl3 at its relaxed geometry, from Alexandria.

Summary:
**ΔH_f (0 K)**: 174 meV/atom
**SG**: Ia-3d, No. 230
**DOS at the Fermi energy**: 83.1 states/eV per cell

```
data_Cs12Rb5Tl3
_chemical_formula_sum 'Cs48 Rb20 Tl12'
_space_group_name_H-M_alt 'P 1'
_space_group_IT_number 1
_cell_length_a 22.1230
_cell_length_b 22.1230
_cell_length_c 22.1230
_cell_angle_alpha 109.47
_cell_angle_beta 109.47
_cell_angle_gamma 109.47
loop_
_space_group_symop_operation_xyz
'x,y,z'
loop_
_atom_site_label
_atom_site_type_symbol
_atom_site_fract_x
_atom_site_fract_y
_atom_site_fract_z
_atom_site_occupancy
Cs1 Cs 0.7525 0.3343 0.8869 1
Cs2 Cs 0.8655 0.6131 0.9474 1
Cs3 Cs 0.6345 0.5526 0.8869 1
Rb1 Rb 0.8750 0.2500 0.6250 1
Cs4 Cs 0.0819 0.6345 0.7475 1
Rb2 Rb 0.1250 0.7500 0.3750 1
Rb3 Rb 0.0000 0.0000 0.0000 1
Cs5 Cs 0.2475 0.6657 0.1131 1
Cs6 Cs 0.9474 0.1131 0.8655 1
Rb4 Rb 0.2500 0.3750 0.6250 1
Rb5 Rb 0.5000 0.0000 0.0000 1
Cs7 Cs 0.3869 0.1345 0.5526 1
Cs8 Cs 0.1345 0.3869 0.0526 1
Tl1 Tl 0.2500 0.1250 0.3750 1
Cs9 Cs 0.8655 0.2525 0.4181 1
Cs10 Cs 0.2525 0.8655 0.9181 1
Cs11 Cs 0.2525 0.3869 0.8343 1
Cs12 Cs 0.1345 0.7475 0.5819 1
Tl2 Tl 0.8750 0.1250 0.2500 1
Cs13 Cs 0.1657 0.1131 0.7475 1
Tl3 Tl 0.6250 0.2500 0.3750 1
Cs14 Cs 0.5819 0.2475 0.1345 1
Rb6 Rb 0.3750 0.1250 0.7500 1
Cs15 Cs 0.9181 0.3655 0.2525 1
Cs16 Cs 0.3869 0.2525 0.3343 1
Cs17 Cs 0.6657 0.4181 0.5526 1
Cs18 Cs 0.2475 0.5819 0.6345 1
Cs19 Cs 0.4181 0.6657 0.0526 1
Cs20 Cs 0.1657 0.0526 0.9181 1
Cs21 Cs 0.5819 0.3343 0.9474 1
Cs22 Cs 0.5526 0.9181 0.6657 1
Tl4 Tl 0.1250 0.8750 0.7500 1
Cs23 Cs 0.6345 0.0819 0.2475 1
Rb7 Rb 0.0000 0.5000 0.5000 1
Cs24 Cs 0.3343 0.5819 0.4474 1
Tl5 Tl 0.3750 0.6250 0.2500 1
Cs25 Cs 0.1131 0.9474 0.3655 1
Rb8 Rb 0.2500 0.8750 0.1250 1
Cs26 Cs 0.8343 0.9474 0.0819 1
Tl6 Tl 0.2500 0.6250 0.8750 1
Rb9 Rb 0.6250 0.7500 0.8750 1
Cs27 Cs 0.0526 0.1657 0.4181 1
Cs28 Cs 0.5526 0.6345 0.3869 1
Tl7 Tl 0.7500 0.8750 0.6250 1
Cs29 Cs 0.7475 0.1345 0.0819 1
Rb10 Rb 0.7500 0.6250 0.3750 1
Cs30 Cs 0.3655 0.9181 0.7525 1
Cs31 Cs 0.3655 0.4474 0.1131 1
Cs32 Cs 0.6657 0.2475 0.6131 1
Tl8 Tl 0.1250 0.2500 0.8750 1
Cs33 Cs 0.1131 0.1657 0.2475 1
Cs34 Cs 0.8869 0.8343 0.7525 1
Rb11 Rb 0.8750 0.6250 0.7500 1
Cs35 Cs 0.4474 0.0819 0.3343 1
Cs36 Cs 0.6131 0.8655 0.4474 1
Cs37 Cs 0.8343 0.8869 0.2525 1
Rb12 Rb 0.3750 0.2500 0.1250 1
Cs38 Cs 0.4474 0.3655 0.6131 1
Tl9 Tl 0.7500 0.3750 0.1250 1
Tl10 Tl 0.3750 0.7500 0.6250 1
Rb13 Rb 0.0000 0.5000 0.0000 1
Cs39 Cs 0.0526 0.8869 0.1345 1
Cs40 Cs 0.9181 0.5526 0.1657 1
Cs41 Cs 0.4181 0.7525 0.8655 1
Rb14 Rb 0.6250 0.8750 0.2500 1
Rb15 Rb 0.1250 0.3750 0.2500 1
Cs42 Cs 0.6131 0.7475 0.6657 1
Cs43 Cs 0.7475 0.6131 0.1657 1
Cs44 Cs 0.7525 0.4181 0.3655 1
Tl11 Tl 0.8750 0.7500 0.1250 1
Rb16 Rb 0.5000 0.5000 0.5000 1
Rb17 Rb 0.0000 0.0000 0.5000 1
Tl12 Tl 0.6250 0.3750 0.7500 1
Cs45 Cs 0.3343 0.7525 0.3869 1
Rb18 Rb 0.5000 0.5000 0.0000 1
Cs46 Cs 0.8869 0.0526 0.6345 1
Rb19 Rb 0.7500 0.1250 0.8750 1
Cs47 Cs 0.0819 0.4474 0.8343 1
Rb20 Rb 0.5000 0.0000 0.5000 1
Cs48 Cs 0.9474 0.8343 0.5819 1
```

No. 5
The following is a GGA-PBE calculation of crystalline Cs3Rb8Tl2 at its relaxed geometry, from Alexandria.

Summary:
**ΔH_f (0 K)**: 0 meV/atom
**SG**: P2/m, No. 10
**DOS at the Fermi energy**: 12.4 states/eV per cell

```
data_Cs3Rb8Tl2
_chemical_formula_sum 'Cs3 Rb8 Tl2'
_space_group_name_H-M_alt 'P 1'
_space_group_IT_number 1
_cell_length_a 6.2869
_cell_length_b 11.4088
_cell_length_c 15.3278
_cell_angle_alpha 69.65
_cell_angle_beta 90.00
_cell_angle_gamma 90.01
loop_
_space_group_symop_operation_xyz
'x,y,z'
loop_
_atom_site_label
_atom_site_type_symbol
_atom_site_fract_x
_atom_site_fract_y
_atom_site_fract_z
_atom_site_occupancy
Rb1 Rb 0.5000 0.4870 0.8072 1
Rb2 Rb 0.0000 0.2367 0.7486 1
Rb3 Rb 0.5001 0.9841 0.3561 1
Rb4 Rb 0.0000 0.3399 0.4397 1
Tl1 Tl 0.5000 0.6132 0.4116 1
Rb5 Rb 0.0000 0.7633 0.2514 1
Rb6 Rb 0.0000 0.6601 0.5603 1
Tl2 Tl 0.5000 0.3868 0.5884 1
Rb7 Rb 0.5000 0.5130 0.1928 1
Rb8 Rb 0.4999 0.0159 0.6439 1
Cs1 Cs 0.0000 0.7358 0.8997 1
Cs2 Cs 0.0000 0.2642 0.1003 1
Cs3 Cs 0.5000 0.0000 0.0000 1
```

No. 6
The following is a GGA-PBE calculation of crystalline CsRb3Tl2 at its relaxed geometry, from Alexandria.

Summary:
**ΔH_f (0 K)**: -51 meV/atom
**SG**: C2/m, No. 12
**DOS at the Fermi energy**: 9.1 states/eV per cell

```
data_CsRb3Tl2
_chemical_formula_sum 'Cs2 Rb6 Tl4'
_space_group_name_H-M_alt 'P 1'
_space_group_IT_number 1
_cell_length_a 5.4525
_cell_length_b 11.4072
_cell_length_c 13.6101
_cell_angle_alpha 75.56
_cell_angle_beta 78.44
_cell_angle_gamma 76.17
loop_
_space_group_symop_operation_xyz
'x,y,z'
loop_
_atom_site_label
_atom_site_type_symbol
_atom_site_fract_x
_atom_site_fract_y
_atom_site_fract_z
_atom_site_occupancy
Rb1 Rb 0.4150 0.2262 0.9437 1
Tl1 Tl 0.2358 0.0640 0.4644 1
Rb2 Rb 0.4181 0.7343 0.4296 1
Rb3 Rb 0.8420 0.0745 0.2414 1
Tl2 Tl 0.7650 0.4343 0.0356 1
Cs1 Cs 0.8421 0.5824 0.7334 1
Tl3 Tl 0.7642 0.9360 0.5356 1
Tl4 Tl 0.2350 0.5657 0.9644 1
Cs2 Cs 0.1579 0.4176 0.2666 1
Rb4 Rb 0.5819 0.2657 0.5704 1
Rb5 Rb 0.5850 0.7738 0.0563 1
Rb6 Rb 0.1580 0.9255 0.7586 1
```

No. 7
The following is a GGA-PBE calculation of crystalline Cs8Rb3Tl at its relaxed geometry, from Alexandria.

Summary:
**ΔH_f (0 K)**: 9 meV/atom
**SG**: P6_3mc, No. 186
**DOS at the Fermi energy**: 21.0 states/eV per cell

```
data_Cs8Rb3Tl
_chemical_formula_sum 'Cs16 Rb6 Tl2'
_space_group_name_H-M_alt 'P 1'
_space_group_IT_number 1
_cell_length_a 10.4005
_cell_length_b 15.9998
_cell_length_c 15.9998
_cell_angle_alpha 120.00
_cell_angle_beta 90.00
_cell_angle_gamma 90.00
loop_
_space_group_symop_operation_xyz
'x,y,z'
loop_
_atom_site_label
_atom_site_type_symbol
_atom_site_fract_x
_atom_site_fract_y
_atom_site_fract_z
_atom_site_occupancy
Cs1 Cs 0.7736 0.4149 0.2075 1
Cs2 Cs 0.4771 0.5245 0.4755 1
Cs3 Cs 0.6608 0.3333 0.6667 1
Tl1 Tl 0.0548 0.3333 0.6667 1
Cs4 Cs 0.4771 0.5245 0.0489 1
Tl2 Tl 0.5548 0.6667 0.3333 1
Cs5 Cs 0.1608 0.6667 0.3333 1
Rb1 Rb 0.7639 0.6847 0.8423 1
Rb2 Rb 0.2639 0.8423 0.6847 1
Cs6 Cs 0.5137 0.0000 0.0000 1
Rb3 Rb 0.2639 0.8423 0.1577 1
Rb4 Rb 0.7639 0.1577 0.8423 1
Cs7 Cs 0.9771 0.0489 0.5245 1
Cs8 Cs 0.9771 0.4755 0.9511 1
Cs9 Cs 0.9771 0.4755 0.5245 1
Cs10 Cs 0.7736 0.7925 0.2075 1
Cs11 Cs 0.0137 0.0000 0.0000 1
Rb5 Rb 0.7639 0.1577 0.3153 1
Cs12 Cs 0.2736 0.2075 0.7925 1
Cs13 Cs 0.4771 0.9511 0.4755 1
Cs14 Cs 0.2736 0.5851 0.7925 1
Cs15 Cs 0.2736 0.2075 0.4149 1
Rb6 Rb 0.2639 0.3153 0.1577 1
Cs16 Cs 0.7736 0.7925 0.5851 1
```

No. 8
The following is a GGA-PBE calculation of crystalline CsRbTl3 at its relaxed geometry, from Alexandria.

Summary:
**ΔH_f (0 K)**: 488 meV/atom
**SG**: Pm-3m, No. 221
**Offset from the most stable computed form**: 573.3 meV per atom
**DOS at the Fermi energy**: 6.3 states/eV per cell

```
data_CsRbTl3
_chemical_formula_sum 'Cs1 Rb1 Tl3'
_space_group_name_H-M_alt 'P 1'
_space_group_IT_number 1
_cell_length_a 6.7395
_cell_length_b 6.7395
_cell_length_c 6.7395
_cell_angle_alpha 90.00
_cell_angle_beta 90.00
_cell_angle_gamma 90.00
loop_
_space_group_symop_operation_xyz
'x,y,z'
loop_
_atom_site_label
_atom_site_type_symbol
_atom_site_fract_x
_atom_site_fract_y
_atom_site_fract_z
_atom_site_occupancy
Tl1 Tl 0.0000 0.5000 0.0000 1
Cs1 Cs 0.0000 0.0000 0.0000 1
Rb1 Rb 0.5000 0.5000 0.5000 1
Tl2 Tl 0.5000 0.0000 0.0000 1
Tl3 Tl 0.0000 0.0000 0.5000 1
```

No. 9
The following is a GGA-PBE calculation of crystalline CsRb2Tl at its relaxed geometry, from Alexandria.

Summary:
**ΔH_f (0 K)**: 221 meV/atom
**SG**: R-3m, No. 166
**Offset from the most stable computed form**: 230.6 meV per atom
**DOS at the Fermi energy**: 4.8 states/eV per cell

```
data_CsRb2Tl
_chemical_formula_sum 'Cs1 Rb2 Tl1'
_space_group_name_H-M_alt 'P 1'
_space_group_IT_number 1
_cell_length_a 4.6336
_cell_length_b 4.6336
_cell_length_c 16.5384
_cell_angle_alpha 81.95
_cell_angle_beta 81.95
_cell_angle_gamma 60.00
loop_
_space_group_symop_operation_xyz
'x,y,z'
loop_
_atom_site_label
_atom_site_type_symbol
_atom_site_fract_x
_atom_site_fract_y
_atom_site_fract_z
_atom_site_occupancy
Rb1 Rb 0.9246 0.9246 0.2263 1
Cs1 Cs 0.5000 0.5000 0.5000 1
Tl1 Tl 0.0000 0.0000 0.0000 1
Rb2 Rb 0.0754 0.0754 0.7737 1
```

No. 10
The following is a GGA-PBE calculation of crystalline Cs4Rb3Tl at its relaxed geometry, from Alexandria.

Summary:
**ΔH_f (0 K)**: 63 meV/atom
**SG**: I4/mcm, No. 140
**DOS at the Fermi energy**: 16.8 states/eV per cell

```
data_Cs4Rb3Tl
_chemical_formula_sum 'Cs8 Rb6 Tl2'
_space_group_name_H-M_alt 'P 1'
_space_group_IT_number 1
_cell_length_a 8.6620
_cell_length_b 13.5601
_cell_length_c 13.5601
_cell_angle_alpha 84.15
_cell_angle_beta 71.37
_cell_angle_gamma 71.37
loop_
_space_group_symop_operation_xyz
'x,y,z'
loop_
_atom_site_label
_atom_site_type_symbol
_atom_site_fract_x
_atom_site_fract_y
_atom_site_fract_z
_atom_site_occupancy
Cs1 Cs 0.7289 0.8614 0.6808 1
Tl1 Tl 0.7500 0.5000 0.5000 1
Rb1 Rb 0.8763 0.5000 0.7474 1
Rb2 Rb 0.7500 0.0000 0.0000 1
Tl2 Tl 0.2500 0.5000 0.5000 1
Cs2 Cs 0.0903 0.1386 0.6808 1
Cs3 Cs 0.9097 0.8614 0.3192 1
Rb3 Rb 0.2500 0.0000 0.0000 1
Rb4 Rb 0.1237 0.5000 0.2526 1
Cs4 Cs 0.2711 0.1386 0.3192 1
Cs5 Cs 0.2289 0.6808 0.8614 1
Cs6 Cs 0.5903 0.6808 0.1386 1
Cs7 Cs 0.4097 0.3192 0.8614 1
Cs8 Cs 0.7711 0.3192 0.1386 1
Rb5 Rb 0.6237 0.2526 0.5000 1
Rb6 Rb 0.3763 0.7474 0.5000 1
```

No. 11
The following is a GGA-PBE calculation of crystalline Cs3RbTl6 at its relaxed geometry, from Alexandria.

Summary:
**ΔH_f (0 K)**: -45 meV/atom
**SG**: C2/m, No. 12
**DOS at the Fermi energy**: 6.6 states/eV per cell

```
data_Cs3RbTl6
_chemical_formula_sum 'Cs3 Rb1 Tl6'
_space_group_name_H-M_alt 'P 1'
_space_group_IT_number 1
_cell_length_a 8.6688
_cell_length_b 8.1424
_cell_length_c 10.1026
_cell_angle_alpha 64.10
_cell_angle_beta 64.59
_cell_angle_gamma 57.84
loop_
_space_group_symop_operation_xyz
'x,y,z'
loop_
_atom_site_label
_atom_site_type_symbol
_atom_site_fract_x
_atom_site_fract_y
_atom_site_fract_z
_atom_site_occupancy
Tl1 Tl 0.8956 0.8605 0.7287 1
Tl2 Tl 0.7204 0.1107 0.4485 1
Tl3 Tl 0.5152 0.8605 0.7287 1
Cs1 Cs 0.3975 0.3592 0.8458 1
Tl4 Tl 0.1044 0.1395 0.2713 1
Cs2 Cs 0.0000 0.0000 0.0000 1
Tl5 Tl 0.4848 0.1395 0.2713 1
Cs3 Cs 0.6025 0.6408 0.1542 1
Rb1 Rb 0.0000 0.5000 0.5000 1
Tl6 Tl 0.2796 0.8893 0.5515 1
```

No. 12
The following is a GGA-PBE calculation of crystalline Cs11Rb17Tl at its relaxed geometry, from Alexandria.

Summary:
**ΔH_f (0 K)**: 18 meV/atom
**SG**: Cm, No. 8
**DOS at the Fermi energy**: 27.3 states/eV per cell

```
data_Cs11Rb17Tl
_chemical_formula_sum 'Cs11 Rb17 Tl1'
_space_group_name_H-M_alt 'P 1'
_space_group_IT_number 1
_cell_length_a 15.8107
_cell_length_b 15.8107
_cell_length_c 14.9747
_cell_angle_alpha 109.47
_cell_angle_beta 109.47
_cell_angle_gamma 111.97
loop_
_space_group_symop_operation_xyz
'x,y,z'
loop_
_atom_site_label
_atom_site_type_symbol
_atom_site_fract_x
_atom_site_fract_y
_atom_site_fract_z
_atom_site_occupancy
Rb1 Rb 0.5918 0.3045 0.9964 1
Cs1 Cs 0.3695 0.1946 0.3245 1
Cs2 Cs 0.6118 0.9895 0.7860 1
Cs3 Cs 0.8220 0.2026 0.2077 1
Cs4 Cs 0.8401 0.0201 0.6369 1
Rb2 Rb 0.0136 0.3167 0.6010 1
Cs5 Cs 0.9895 0.6118 0.7860 1
Cs6 Cs 0.0201 0.8401 0.6369 1
Rb3 Rb 0.6531 0.6531 0.2638 1
Rb4 Rb 0.6233 0.6233 0.6246 1
Cs7 Cs 0.1946 0.3695 0.3245 1
Rb5 Rb 0.9669 0.9669 0.9852 1
Cs8 Cs 0.6122 0.7972 0.9941 1
Rb6 Rb 0.3730 0.9759 0.9846 1
Tl1 Tl 0.4604 0.4604 0.3061 1
Rb7 Rb 0.3045 0.5918 0.9964 1
Rb8 Rb 0.3167 0.0136 0.6010 1
Rb9 Rb 0.4140 0.6966 0.3789 1
Rb10 Rb 0.9975 0.9975 0.3567 1
Rb11 Rb 0.9999 0.5946 0.3217 1
Rb12 Rb 0.3728 0.3728 0.7072 1
Rb13 Rb 0.6584 0.2635 0.6547 1
Rb14 Rb 0.2635 0.6584 0.6547 1
Rb15 Rb 0.6966 0.4140 0.3789 1
Cs9 Cs 0.2638 0.2638 0.9832 1
Cs10 Cs 0.7972 0.6122 0.9941 1
Rb16 Rb 0.9759 0.3730 0.9846 1
Rb17 Rb 0.5946 0.9999 0.3217 1
Cs11 Cs 0.2026 0.8220 0.2077 1
```

| no. | mass density (Mg/m³) |
| --- | --- |
| 1 | 5.21 |
| 2 | 2.81 |
| 3 | 5.69 |
| 4 | 2.10 |
| 5 | 2.40 |
| 6 | 3.37 |
| 7 | 2.20 |
| 8 | 4.51 |
| 9 | 2.78 |
| 10 | 2.30 |
| 11 | 5.41 |
| 12 | 1.86 |